1.
{
  "formula": "Sm2Sn5Rh3",
  "functional": "PBE",
  "state": "optimized geometry",
  "lattice": [[-4.328, -1.126, -0.338], [1.836, -7.050, -0.008], [1.194, 0.295, 13.473]],
  "species": ["Sn", "Sn", "Sn", "Sn", "Sn", "Sn", "Sn", "Sn", "Sn", "Sn", "Rh", "Rh", "Rh", "Rh", "Rh", "Rh", "Sm", "Sm", "Sm", "Sm"],
  "frac_coords": [[0.121, 0.257, 0.241], [0.048, 0.590, 0.096], [0.710, 0.011, 0.420], [0.705, 0.437, 0.411], [0.596, 0.879, 0.193], [0.879, 0.757, 0.759], [0.952, 0.090, 0.904], [0.404, 0.379, 0.807], [0.290, 0.511, 0.580], [0.295, 0.937, 0.589], [0.223, 0.223, 0.445], [0.777, 0.723, 0.555], [0.394, 0.007, 0.787], [0.606, 0.507, 0.213], [0.051, 0.974, 0.101], [0.949, 0.474, 0.899], [0.476, 0.754, 0.952], [0.524, 0.254, 0.048], [0.828, 0.231, 0.656], [0.172, 0.731, 0.344]],
  "e_form_mev_per_atom": -730,
  "space_group": "Cmc2_1 (36)",
  "e_tot_ry_per_atom": -0.432,
  "magmom_total_mub_per_cell": 0.000,
  "dos_ef_per_ev_fu": 4.99
}

2.
{
  "formula": "Sm3Sn3Rh",
  "functional": "PBE",
  "state": "optimized geometry",
  "lattice": [[4.510, 0.000, 0.679], [2.222, 5.659, 0.561], [0.121, 0.108, 14.510]],
  "species": ["Sn", "Sn", "Sn", "Sn", "Sn", "Sn", "Sm", "Sm", "Sm", "Sm", "Sm", "Sm", "Rh", "Rh"],
  "frac_coords": [[0.125, 0.826, 0.924], [0.974, 0.817, 0.235], [0.026, 0.183, 0.765], [0.875, 0.174, 0.076], [0.852, 0.760, 0.535], [0.148, 0.240, 0.465], [0.478, 0.664, 0.381], [0.522, 0.336, 0.619], [0.401, 0.276, 0.921], [0.599, 0.724, 0.079], [0.261, 0.238, 0.240], [0.739, 0.762, 0.760], [0.246, 0.894, 0.615], [0.754, 0.106, 0.385]],
  "e_form_mev_per_atom": -797,
  "space_group": "C2/m (12)",
  "e_tot_ry_per_atom": -0.411,
  "magmom_total_mub_per_cell": 0.000,
  "dos_ef_per_ev_fu": 5.68
}

3.
{
  "formula": "Sm8SnRh2",
  "functional": "PBE",
  "state": "optimized geometry",
  "lattice": [[-0.386, -5.529, -0.297], [0.772, 0.599, 8.064], [-7.409, 1.756, -2.828]],
  "species": ["Sm", "Sm", "Sm", "Sm", "Sm", "Sm", "Sm", "Sm", "Rh", "Rh", "Sn"],
  "frac_coords": [[0.066, 0.077, 0.327], [0.934, 0.923, 0.673], [0.500, 0.753, 0.247], [0.306, 0.608, 0.608], [0.694, 0.392, 0.392], [0.066, 0.327, 0.077], [0.500, 0.247, 0.753], [0.934, 0.673, 0.923], [0.000, 0.700, 0.300], [0.000, 0.300, 0.700], [0.500, 0.000, 0.000]],
  "e_form_mev_per_atom": -378,
  "space_group": "C2/m (12)",
  "e_tot_ry_per_atom": -0.405,
  "magmom_total_mub_per_cell": 0.000,
  "dos_ef_per_ev_fu": 13.78
}

4.
{
  "formula": "Sm12SnRh6",
  "functional": "PBE",
  "state": "optimized geometry",
  "lattice": [[8.237, 0.000, -2.912], [-4.119, 7.134, -2.912], [0.000, 0.000, 8.737]],
  "species": ["Rh", "Rh", "Rh", "Rh", "Rh", "Rh", "Sm", "Sm", "Sm", "Sm", "Sm", "Sm", "Sm", "Sm", "Sm", "Sm", "Sm", "Sm", "Sn"],
  "frac_coords": [[0.631, 0.500, 0.131], [0.869, 0.369, 0.500], [0.500, 0.869, 0.369], [0.500, 0.131, 0.631], [0.369, 0.500, 0.869], [0.131, 0.631, 0.500], [0.303, 0.490, 0.187], [0.303, 0.116, 0.813], [0.813, 0.697, 0.510], [0.697, 0.884, 0.187], [0.884, 0.187, 0.697], [0.490, 0.187, 0.303], [0.510, 0.813, 0.697], [0.813, 0.303, 0.116], [0.187, 0.303, 0.490], [0.116, 0.813, 0.303], [0.187, 0.697, 0.884], [0.697, 0.510, 0.813], [0.000, 0.000, 0.000]],
  "e_form_mev_per_atom": -579,
  "space_group": "Im-3 (204)",
  "e_tot_ry_per_atom": -0.448,
  "magmom_total_mub_per_cell": 0.000,
  "dos_ef_per_ev_fu": 15.47
}

5.
{
  "formula": "Sm3Sn4Rh8",
  "functional": "PBE",
  "state": "optimized geometry",
  "lattice": [[8.056, 0.000, 4.651], [2.685, 7.595, 4.651], [0.000, 0.000, 9.302]],
  "species": ["Sm", "Sm", "Sm", "Sm", "Sm", "Sm", "Rh", "Rh", "Rh", "Rh", "Rh", "Rh", "Rh", "Rh", "Rh", "Rh", "Rh", "Rh", "Rh", "Rh", "Rh", "Rh", "Sn", "Sn", "Sn", "Sn", "Sn", "Sn", "Sn", "Sn"],
  "frac_coords": [[0.269, 0.269, 0.731], [0.731, 0.269, 0.731], [0.731, 0.731, 0.269], [0.269, 0.731, 0.731], [0.731, 0.269, 0.269], [0.269, 0.731, 0.269], [0.015, 0.328, 0.328], [0.878, 0.878, 0.878], [0.878, 0.878, 0.366], [0.328, 0.328, 0.328], [0.366, 0.878, 0.878], [0.672, 0.672, 0.672], [0.878, 0.366, 0.878], [0.328, 0.015, 0.328], [0.328, 0.328, 0.015], [0.672, 0.672, 0.985], [0.122, 0.122, 0.122], [0.985, 0.672, 0.672], [0.122, 0.634, 0.122], [0.634, 0.122, 0.122], [0.672, 0.985, 0.672], [0.122, 0.122, 0.634], [0.500, 0.500, 0.500], [0.500, 0.000, 0.500], [0.000, 0.500, 0.500], [0.000, 0.000, 0.000], [0.000, 0.500, 0.000], [0.500, 0.500, 0.000], [0.500, 0.000, 0.000], [0.000, 0.000, 0.500]],
  "e_form_mev_per_atom": -660,
  "space_group": "Fm-3m (225)",
  "e_tot_ry_per_atom": -0.484,
  "magmom_total_mub_per_cell": 0.000,
  "dos_ef_per_ev_fu": 8.91
}

6.
{
  "formula": "SmSn12Rh4",
  "functional": "PBE",
  "state": "optimized geometry",
  "lattice": [[8.172, 0.000, 0.000], [-2.724, 7.705, 0.000], [-2.724, -3.852, 6.672]],
  "species": ["Sn", "Sn", "Sn", "Sn", "Sn", "Sn", "Sn", "Sn", "Sn", "Sn", "Sn", "Sn", "Rh", "Rh", "Rh", "Rh", "Sm"],
  "frac_coords": [[0.839, 0.338, 0.177], [0.839, 0.662, 0.501], [0.823, 0.161, 0.662], [0.501, 0.839, 0.662], [0.499, 0.161, 0.338], [0.177, 0.839, 0.338], [0.662, 0.501, 0.839], [0.338, 0.177, 0.839], [0.338, 0.499, 0.161], [0.662, 0.823, 0.161], [0.161, 0.662, 0.823], [0.161, 0.338, 0.499], [0.000, 0.000, 0.500], [0.000, 0.500, 0.000], [0.500, 0.500, 0.500], [0.500, 0.000, 0.000], [0.000, 0.000, 0.000]],
  "e_form_mev_per_atom": -307,
  "space_group": "Im-3 (204)",
  "e_tot_ry_per_atom": -0.378,
  "magmom_total_mub_per_cell": 0.000,
  "dos_ef_per_ev_fu": 12.13
}

7.
{
  "formula": "Sm8Sn2Rh",
  "functional": "PBE",
  "state": "optimized geometry",
  "lattice": [[5.018, 0.000, 0.000], [0.000, 6.897, 0.205], [-2.509, -2.631, 9.393]],
  "species": ["Sn", "Sn", "Sm", "Sm", "Sm", "Sm", "Sm", "Sm", "Sm", "Sm", "Rh"],
  "frac_coords": [[0.182, 0.760, 0.364], [0.818, 0.240, 0.636], [0.983, 0.218, 0.966], [0.409, 0.528, 0.817], [0.216, 0.323, 0.432], [0.354, 0.997, 0.709], [0.646, 0.003, 0.291], [0.784, 0.677, 0.568], [0.017, 0.782, 0.034], [0.591, 0.472, 0.183], [0.500, 0.000, 0.000]],
  "e_form_mev_per_atom": -436,
  "space_group": "C2/m (12)",
  "e_tot_ry_per_atom": -0.387,
  "magmom_total_mub_per_cell": 0.000,
  "dos_ef_per_ev_fu": 9.52
}

8.
{
  "formula": "Sm6Sn3Rh",
  "functional": "PBE",
  "state": "optimized geometry",
  "lattice": [[6.231, 0.000, 0.136], [0.000, 8.859, 0.000], [0.217, 0.000, 10.898]],
  "species": ["Sm", "Sm", "Sm", "Sm", "Sm", "Sm", "Sm", "Sm", "Sm", "Sm", "Sm", "Sm", "Rh", "Rh", "Sn", "Sn", "Sn", "Sn", "Sn", "Sn"],
  "frac_coords": [[0.870, 0.955, 0.235], [0.130, 0.045, 0.765], [0.402, 0.809, 0.439], [0.598, 0.191, 0.561], [0.616, 0.160, 0.941], [0.370, 0.545, 0.735], [0.884, 0.660, 0.559], [0.902, 0.691, 0.939], [0.098, 0.309, 0.061], [0.630, 0.455, 0.265], [0.116, 0.340, 0.441], [0.384, 0.840, 0.059], [0.500, 0.500, 0.500], [0.000, 0.000, 0.000], [0.903, 0.384, 0.761], [0.000, 0.000, 0.500], [0.403, 0.116, 0.261], [0.597, 0.884, 0.739], [0.097, 0.616, 0.239], [0.500, 0.500, 0.000]],
  "e_form_mev_per_atom": -566,
  "space_group": "P2_1/c (14)",
  "e_tot_ry_per_atom": -0.392,
  "magmom_total_mub_per_cell": 0.000,
  "dos_ef_per_ev_fu": 8.44
}

9.
{
  "formula": "Sm4SnRh",
  "functional": "PBE",
  "state": "optimized geometry",
  "lattice": [[5.334, 0.000, -2.271], [0.000, 6.934, 0.000], [-0.410, 0.000, 9.407]],
  "species": ["Sm", "Sm", "Sm", "Sm", "Sm", "Sm", "Sm", "Sm", "Rh", "Rh", "Sn", "Sn"],
  "frac_coords": [[0.348, 0.750, 0.133], [0.932, 0.491, 0.268], [0.932, 0.009, 0.268], [0.068, 0.991, 0.732], [0.576, 0.250, 0.439], [0.424, 0.750, 0.561], [0.652, 0.250, 0.867], [0.068, 0.509, 0.732], [0.209, 0.250, 0.552], [0.791, 0.750, 0.448], [0.298, 0.250, 0.070], [0.702, 0.750, 0.930]],
  "e_form_mev_per_atom": -532,
  "space_group": "P2_1/m (11)",
  "e_tot_ry_per_atom": -0.409,
  "magmom_total_mub_per_cell": 0.000,
  "dos_ef_per_ev_fu": 6.22
}

10.
{
  "formula": "SmSn2Rh5",
  "functional": "PBE",
  "state": "optimized geometry",
  "lattice": [[4.140, 0.000, 0.000], [2.070, 6.554, 1.512], [2.070, 2.690, 6.165]],
  "species": ["Rh", "Rh", "Rh", "Rh", "Rh", "Sn", "Sn", "Sm"],
  "frac_coords": [[0.383, 0.843, 0.391], [0.617, 0.609, 0.157], [0.000, 0.500, 0.500], [0.383, 0.391, 0.843], [0.617, 0.157, 0.609], [0.218, 0.282, 0.282], [0.782, 0.718, 0.718], [0.000, 0.000, 0.000]],
  "e_form_mev_per_atom": -414,
  "space_group": "Immm (71)",
  "e_tot_ry_per_atom": -0.485,
  "magmom_total_mub_per_cell": 0.000,
  "dos_ef_per_ev_fu": 7.73
}

11.
{
  "formula": "Sm4SnRh",
  "functional": "PBE",
  "state": "optimized geometry",
  "lattice": [[-5.822, 1.668, 0.971], [0.205, -8.371, 1.140], [4.208, 4.306, 5.701]],
  "species": ["Sn", "Sn", "Sm", "Sm", "Sm", "Sm", "Sm", "Sm", "Sm", "Sm", "Rh", "Rh"],
  "frac_coords": [[0.625, 0.375, 0.750], [0.375, 0.625, 0.250], [0.640, 0.065, 0.361], [0.315, 0.650, 0.861], [0.046, 0.211, 0.861], [0.954, 0.789, 0.139], [0.685, 0.350, 0.139], [0.221, 0.295, 0.361], [0.360, 0.935, 0.639], [0.779, 0.705, 0.639], [0.750, 0.000, 0.001], [0.250, 0.000, 0.999]],
  "e_form_mev_per_atom": -536,
  "space_group": "C2/c (15)",
  "e_tot_ry_per_atom": -0.410,
  "magmom_total_mub_per_cell": 0.000,
  "dos_ef_per_ev_fu": 6.70
}

12.
{
  "formula": "SmSnRh4",
  "functional": "PBE",
  "state": "optimized geometry",
  "lattice": [[-0.946, 4.609, -2.484], [-4.433, 2.739, 1.072], [0.288, 4.580, 2.692]],
  "species": ["Sm", "Rh", "Rh", "Rh", "Rh", "Sn"],
  "frac_coords": [[0.250, 0.250, 0.250], [0.626, 0.626, 0.626], [0.122, 0.626, 0.626], [0.626, 0.122, 0.626], [0.626, 0.626, 0.122], [0.000, 0.000, 0.000]],
  "e_form_mev_per_atom": -467,
  "space_group": "F-43m (216)",
  "e_tot_ry_per_atom": -0.501,
  "magmom_total_mub_per_cell": 0.000,
  "dos_ef_per_ev_fu": 5.03
}

Number 1: V 435.89 Å³ per cell. Number 2: V 369.78 Å³ per cell. Number 3: V 322.64 Å³ per cell. Number 4: V 513.36 Å³ per cell. Number 5: V 569.12 Å³ per cell. Number 6: V 420.12 Å³ per cell. Number 7: V 327.74 Å³ per cell. Number 8: V 601.29 Å³ per cell. Number 9: V 341.46 Å³ per cell. Number 10: V 150.43 Å³ per cell. Number 11: V 347.55 Å³ per cell. Number 12: V 106.48 Å³ per cell.